# 1
A plane-wave DFT calculation with PBE was carried out for an optimized crystal structure of PrZnAs2.

extended XYZ file:
```
8
Lattice="4.071 0.000 0.000 0.000 4.071 0.000 0.000 0.000 10.488" Properties=species:S:1:pos:R:3 pbc="T T T"
Pr 1.018 1.018 2.313
Pr 3.053 3.053 8.174
Zn 1.018 3.053 5.244
Zn 3.053 1.018 5.244
As 1.018 1.018 6.935
As 1.018 3.053 0.000
As 3.053 1.018 0.000
As 3.053 3.053 3.553
```

E above lowest polymorph   0 meV per atom

=====

# 2
A plane-wave DFT calculation with PBE was carried out for an optimized crystal structure of Pr2ZnAs4.

extended XYZ file:
```
7
Lattice="4.004 0.000 0.000 0.000 4.004 0.000 0.000 0.000 10.296" Properties=species:S:1:pos:R:3 pbc="T T T"
Pr 0.000 2.002 2.463
Pr 2.002 0.000 7.833
Zn 0.000 0.000 5.148
As 0.000 0.000 0.000
As 0.000 2.002 6.687
As 2.002 0.000 3.609
As 2.002 2.002 0.000
```

Total energy   -5.081 eV/atom

=====

# 3
A plane-wave DFT calculation with PBE was carried out for an optimized crystal structure of Pr3Zn2As6.

extended XYZ file:
```
22
Lattice="7.634 0.000 0.000 0.000 5.810 0.000 -3.514 0.000 12.263" Properties=species:S:1:pos:R:3 pbc="T T T"
Pr 0.115 1.452 1.241
Pr 0.095 4.357 6.420
Pr -0.733 1.452 10.035
Pr 4.853 4.357 2.228
Pr 4.026 1.452 5.842
Pr 4.005 4.357 11.022
Zn -0.419 1.452 4.418
Zn 3.184 1.452 1.298
Zn 0.937 4.357 10.965
Zn 4.540 4.357 7.845
As 0.214 4.357 2.028
As -0.663 1.452 6.895
As -1.094 4.357 9.275
As 2.280 4.357 0.589
As 1.947 1.452 3.740
As 2.491 4.357 4.320
As 1.630 1.452 7.942
As 2.174 4.357 8.523
As 1.841 1.452 11.674
As 5.215 1.452 2.987
As 4.784 4.357 5.367
As 3.906 1.452 10.234
```

E above lowest polymorph   284 meV per atom

=====

# 4
A plane-wave DFT calculation with PBE was carried out for an optimized crystal structure of PrZrAs2.

extended XYZ file:
```
4
Lattice="2.026 1.170 6.736 -2.026 1.170 6.736 0.000 -2.339 6.736" Properties=species:S:1:pos:R:3 pbc="T T T"
Pr 0.000 0.000 0.000
Zr 0.000 0.000 10.104
As 0.000 0.000 4.877
As 0.000 0.000 15.330
```

E above lowest polymorph   0 meV per atom

=====

# 5
A plane-wave DFT calculation with PBE was carried out for an optimized crystal structure of Pr4ZrAs5.

extended XYZ file:
```
10
Lattice="-4.704 4.704 2.991 4.704 -4.704 2.991 4.704 4.704 -2.991" Properties=species:S:1:pos:R:3 pbc="T T T"
Pr 6.582 0.901 0.000
Pr 0.901 2.826 0.000
Pr 3.803 1.878 2.991
Pr -1.878 3.803 2.991
Zr 0.000 0.000 2.991
As 0.000 0.000 0.000
As 3.802 2.028 0.000
As 2.677 -0.902 2.991
As 2.028 5.606 0.000
As 0.902 2.677 2.991
```

Total energy   -6.482 eV/atom

=====

# 6
A plane-wave DFT calculation with PBE was carried out for an optimized crystal structure of PrZrAs2.

extended XYZ file:
```
4
Lattice="1.992 1.150 7.053 -1.992 1.150 7.053 0.000 -2.300 7.053" Properties=species:S:1:pos:R:3 pbc="T T T"
Pr 0.000 0.000 0.000
Zr 0.000 0.000 17.484
As 0.000 0.000 5.004
As 0.000 0.000 8.942
```

E above lowest polymorph   87 meV per atom

=====

# 7
A plane-wave DFT calculation with PBE was carried out for an optimized crystal structure of As4Pt.

extended XYZ file:
```
5
Lattice="-1.756 1.756 9.099 1.756 -1.756 9.099 1.756 1.756 -9.099" Properties=species:S:1:pos:R:3 pbc="T T T"
As 0.000 0.000 1.247
As 1.756 0.000 4.549
As 0.000 1.756 4.549
As 0.000 0.000 16.951
Pt 0.000 0.000 9.099
```

E above lowest polymorph   488 meV per atom

=====

# 8
A plane-wave DFT calculation with PBE was carried out for an optimized crystal structure of As3Pt.

extended XYZ file:
```
4
Lattice="4.875 0.000 0.000 0.000 4.875 0.000 0.000 0.000 2.974" Properties=species:S:1:pos:R:3 pbc="T T T"
As 0.000 0.000 0.000
As 0.000 2.438 1.487
As 2.438 0.000 1.487
Pt 2.438 2.438 0.000
```

E above lowest polymorph   318 meV per atom

=====

# 9
A plane-wave DFT calculation with PBE was carried out for an optimized crystal structure of AsPt.

extended XYZ file:
```
2
Lattice="0.000 2.618 2.618 2.618 0.000 2.618 2.618 2.618 0.000" Properties=species:S:1:pos:R:3 pbc="T T T"
As 0.000 0.000 0.000
Pt 2.618 2.618 2.618
```

Total energy   -5.492 eV/atom

=====

# 10
A plane-wave DFT calculation with PBE was carried out for an optimized crystal structure of AsPt.

extended XYZ file:
```
4
Lattice="1.766 -6.730 0.000 1.766 6.730 0.000 0.000 0.000 3.360" Properties=species:S:1:pos:R:3 pbc="T T T"
As 1.766 5.142 2.520
As 1.766 -5.142 0.840
Pt 1.766 2.563 2.520
Pt 1.766 -2.563 0.840
```

Total energy   -5.508 eV/atom

=====

# 11
A plane-wave DFT calculation with PBE was carried out for an optimized crystal structure of AsPt3.

extended XYZ file:
```
4
Lattice="4.778 0.000 0.000 0.000 4.778 0.000 0.000 0.000 2.841" Properties=species:S:1:pos:R:3 pbc="T T T"
As 0.000 0.000 0.000
Pt 0.000 2.389 1.420
Pt 2.389 0.000 1.420
Pt 2.389 2.389 0.000
```

Total energy   -5.714 eV/atom

=====

# 12
A plane-wave DFT calculation with PBE was carried out for an optimized crystal structure of As3Pt.

extended XYZ file:
```
4
Lattice="2.846 -3.595 0.000 2.846 3.595 0.000 0.000 0.000 3.513" Properties=species:S:1:pos:R:3 pbc="T T T"
As 0.000 0.000 0.000
As 1.423 1.798 1.756
As 1.423 -1.798 1.756
Pt 2.846 0.000 0.000
```

E above lowest polymorph   333 meV per atom

=====

Number 1: total magnetization 0.00 Bohr magnetons per cell. Number 2: total magnetization 0.00 Bohr magnetons per cell. Number 3: total magnetization 0.00 Bohr magnetons per cell. Number 4: total magnetization 0.00 Bohr magnetons per cell. Number 5: total magnetization 0.00 Bohr magnetons per cell. Number 6: total magnetization 0.00 Bohr magnetons per cell. Number 7: total magnetization 0.00 Bohr magnetons per cell. Number 8: total magnetization 0.00 Bohr magnetons per cell. Number 9: total magnetization 0.00 Bohr magnetons per cell. Number 10: total magnetization 0.00 Bohr magnetons per cell. Number 11: total magnetization 0.00 Bohr magnetons per cell. Number 12: total magnetization 0.00 Bohr magnetons per cell.